# BaNpCr2O6

A relaxed structure of BaNpCr2O6 (GGA+U, Alexandria via LeMat-Bulk).

Cell lengths 5.7297, 5.7297, 5.7297 Å; angles 58.87, 58.87, 58.87 degrees
Sites, in units of the cell vectors:
Ba  0.0000  0.0000  0.0000
Np  0.5302  0.5302  0.5302
Cr  0.2397  0.2397  0.2397
Cr  0.7471  0.7471  0.7471
O  0.0890  0.4964  0.8892
O  0.4487  0.9602  0.5306
O  0.4964  0.8892  0.0890
O  0.5306  0.4487  0.9602
O  0.8892  0.0890  0.4964
O  0.9602  0.5306  0.4487

Results
Mass density ... 7.36 g cm⁻³
DOS at the Fermi energy ... 0.741 states/eV per atom
Calculated total energy ... -8.308 eV/atom